The following is a DFT calculation (PBE+U) of crystalline RbCoCuF6 at its relaxed geometry.

a = 7.2848 Å, b = 7.2848 Å, c = 7.2848 Å
α = 120.02°, β = 119.72°, γ = 90.23°
With the nearest neighbours (Å) after each atom.
Positions (direct):
F1 0.5765 0.9286 0.2568  1 Co 1.94, 1 Cu 2.01
F2 0.5731 0.3231 0.2500  2 Cu 1.97
F3 0.4235 0.6803 0.3521  1 Co 1.94, 1 Cu 2.01
F4 0.1718 0.9286 0.8521  1 Co 1.94, 1 Cu 2.01
F5 0.1785 0.9285 0.2500  2 Co 1.97
F6 0.1718 0.3197 0.2432  1 Co 1.94, 1 Cu 2.01
F7 0.5765 0.3197 0.6479  1 Co 1.94, 1 Cu 2.01
F8 0.8282 0.6803 0.7568  1 Co 1.94, 1 Cu 2.01
F9 0.8282 0.0714 0.1479  1 Co 1.94, 1 Cu 2.01
F10 0.4235 0.0714 0.7432  1 Co 1.94, 1 Cu 2.01
F11 0.8215 0.0715 0.7500  2 Co 1.97
F12 0.4269 0.6769 0.7500  2 Cu 1.97
Co1 0.5000 0.0000 0.5000  6 F 1.94-1.97
Co2 0.0000 0.0000 0.0000  6 F 1.94-1.97
Rb1 0.1275 0.3775 0.7500  6 F 3.08-3.15
Rb2 0.8725 0.6225 0.2500  6 F 3.08-3.15
Cu1 0.5000 0.5000 0.5000  6 F 1.97-2.01
Cu2 0.5000 0.0000 0.0000  6 F 1.97-2.01

Results
Crystal system: orthorhombic
Space group: No. 74
Magnetization, Bohr magnetons per cell: 10.01
Final energy, eV/cell: -79.53